Entry 1:
GGA-PBE HoS2O6F2, relaxed; SG = P-3m1, No. 164; size of the total moment = 0.09 μB/atom; final energy = -6.003 eV/atom
1.0
-0.670 4.614 3.288
-2.748 -0.374 -4.985
-4.698 -2.670 2.790
Ho S O F
1 2 6 2
Cartesian
0.000 0.000 0.000 Ho
-5.468 -0.651 -0.201 S
-2.648 2.221 1.293 S
-4.934 -1.401 0.961 O
-6.112 -1.561 -1.177 O
-6.400 0.418 0.233 O
-3.182 2.971 0.132 O
-2.004 3.131 2.270 O
-1.716 1.152 0.860 O
-4.078 0.139 -1.026 F
-4.038 1.431 2.119 F



Entry 2:
GGA-PBE HoSeO4F, relaxed; SG = C2/m, No. 12; size of the total moment = 0.00 μB/atom; final energy = -6.320 eV/atom
1.0
5.798 -0.272 0.011
1.664 5.560 0.011
1.523 1.080 6.458
Ho Se O F
2 2 8 2
Cartesian
2.873 2.036 5.707 Ho
6.112 4.332 0.772 Ho
5.947 4.215 4.652 Se
3.038 2.153 1.826 Se
2.582 1.830 3.370 O
6.403 4.538 3.109 O
1.757 2.807 0.932 O
4.378 3.103 1.728 O
5.754 5.640 5.546 O
3.230 0.728 0.932 O
4.607 3.265 4.750 O
7.228 3.561 5.546 O
0.416 0.295 1.120 F
8.568 6.073 5.359 F



Entry 3:
GGA-PBE Ho3Si3O10F, relaxed; SG = P2_1/c, No. 14; size of the total moment = 0.00 μB/atom; final energy = -8.082 eV/atom
1.0
-4.520 7.176 7.343
-6.557 -0.791 -3.263
-7.584 -8.529 3.666
Ho Si O F
12 12 40 4
Cartesian
-7.140 2.624 1.085 Ho
-9.712 2.645 8.050 Ho
-11.521 -4.767 6.662 Ho
-8.949 -4.788 -0.304 Ho
-7.303 -1.481 0.877 Ho
-7.377 3.301 4.728 Ho
-11.358 -0.663 6.869 Ho
-11.284 -5.444 3.018 Ho
-13.286 -8.432 1.748 Ho
-7.796 -0.152 5.605 Ho
-5.375 6.289 5.999 Ho
-10.865 -1.991 2.142 Ho
-9.344 -2.942 5.070 Si
-15.911 -2.860 5.954 Si
-12.067 1.321 4.036 Si
-2.749 0.717 1.792 Si
-5.563 0.691 2.991 Si
-10.786 3.780 5.327 Si
-13.097 -2.835 4.756 Si
-7.875 -5.923 2.419 Si
-3.621 -1.744 0.099 Si
-9.317 0.799 2.677 Si
-6.593 -3.464 3.710 Si
-15.040 -0.399 7.647 Si
-11.321 -7.289 1.710 O
-9.692 -1.404 5.530 O
-7.340 5.146 6.037 O
-8.969 -0.739 2.216 O
-9.380 -4.003 6.335 O
-15.136 0.872 6.598 O
-9.280 1.860 1.411 O
-3.524 -3.015 1.149 O
-5.172 -1.281 -0.153 O
-8.375 1.303 3.919 O
-13.489 -0.862 7.900 O
-10.286 -3.447 3.828 O
-7.791 -2.644 4.510 O
-15.947 -1.722 7.159 O
-10.869 0.500 3.237 O
-2.714 -0.421 0.588 O
-6.480 0.469 1.665 O
-11.824 -4.032 1.367 O
-6.837 1.889 6.380 O
-7.811 -0.119 -0.826 O
-6.355 -3.035 2.157 O
-7.890 4.166 2.744 O
-12.305 0.892 5.590 O
-10.770 -6.309 5.003 O
-7.106 -5.043 3.613 O
-14.700 -2.391 4.916 O
-11.555 2.900 4.133 O
-3.960 0.248 2.830 O
-7.122 -3.438 -0.606 O
-5.707 2.322 3.207 O
-11.538 1.294 8.352 O
-12.953 -4.465 4.540 O
-7.964 -7.369 3.154 O
-12.679 -1.911 3.486 O
-10.697 5.226 4.593 O
-5.982 -0.232 4.260 O
-9.309 -5.326 1.932 O
-12.180 -2.612 6.082 O
-9.352 3.182 5.814 O
-10.850 -2.024 8.572 O
-5.276 4.428 4.668 F
-9.271 -2.819 0.721 F
-9.390 0.675 7.025 F
-13.385 -6.571 3.078 F



Entry 4:
GGA-PBE HoTeO4F, relaxed; SG = C2/m, No. 12; size of the total moment = 0.01 μB/atom; final energy = -6.312 eV/atom
1.0
5.922 -0.265 0.021
1.712 5.675 0.021
1.561 1.107 6.730
Ho Te O F
2 2 8 2
Cartesian
2.925 2.073 5.989 Ho
6.270 4.444 0.783 Ho
6.073 4.304 4.786 Te
3.122 2.213 1.986 Te
2.543 1.803 3.663 O
6.652 4.714 3.109 O
1.762 2.906 0.932 O
4.611 3.268 1.886 O
5.869 5.817 5.840 O
3.326 0.700 0.932 O
4.584 3.249 4.887 O
7.432 3.611 5.840 O
0.428 0.304 1.122 F
8.766 6.213 5.651 F